[1]
Crystalline Tb4Si2Sn at its relaxed geometry, computed with GGA-PBE.

The structure belongs to space group R-3m (No. 166, hexagonal axes); the cell edges are 4.7039, 4.7039 and 30.0638 Å and the angles 90.00°, 90.00° and 120.00°. The asymmetric unit holds Tb at (0.0000, 0.0000, 0.1157), Tb at (0.0000, 0.0000, 0.2976), Si at (0.0000, 0.0000, 0.4015) and Sn at (0.0000, 0.0000, 0.5000).

The raw formation energy comes out at -0.54 eV per atom. The value obtained for the magnetic moment is 0.000 μB per atom.

[2]
Crystalline KBr2 at its relaxed geometry, computed with GGA-PBE.

The structure belongs to space group P4/mmm (No. 123); the cell edges are 5.9737, 5.9737 and 3.0857 Å and the angles 90.00°, 90.00° and 90.00°. The asymmetric unit holds K at (0.0000, 0.0000, 0.0000) and Br at (0.0000, 0.5000, 0.5000).

The raw formation energy comes out at -0.92 eV per atom. Its relative energy among the computed polymorphs is 0.233 eV per atom. The value obtained for the magnetic moment is 0.000 μB per atom.

[3]
Crystalline NaHfGa2 at its relaxed geometry, computed with GGA-PBE.

The structure belongs to space group I-42d (No. 122); the cell edges are 7.3927, 7.3927 and 6.2398 Å and the angles 90.00°, 90.00° and 90.00°. The asymmetric unit holds Na at (0.0000, 0.0000, 0.0000), Hf at (0.0000, 0.0000, 0.5000) and Ga at (0.2494, 0.7500, 0.1250).

Its relative energy among the computed polymorphs is 0.441 eV per atom. The value obtained for the magnetic moment is 0.000 μB per atom. The energy of formation is 0.272 eV per atom.

[4]
Crystalline Er8CoOs2 at its relaxed geometry, computed with GGA-PBE.

The structure belongs to space group C2/m (No. 12); the cell edges are 17.2763, 4.7030 and 6.8444 Å and the angles 90.00°, 107.22° and 90.00°. The asymmetric unit holds Er at (0.0295, 0.0000, 0.2951), Er at (0.0971, 0.5000, 0.9584), Er at (0.1665, 0.5000, 0.4620), Er at (0.2063, 0.0000, 0.8123), Co at (0.0000, 0.5000, 0.5000) and Os at (0.1836, 0.0000, 0.2004).

Its relative energy among the computed polymorphs is 0.000 eV per atom. The value obtained for the magnetic moment is 0.000 μB per atom. The energy of formation is -0.202 eV per atom.

[5]
Crystalline Ca2La2Ag at its relaxed geometry, computed with GGA-PBE.

The structure belongs to space group I4/mmm (No. 139); the cell edges are 4.1993, 4.1993 and 20.3507 Å and the angles 90.00°, 90.00° and 90.00°. The asymmetric unit holds Ca at (0.0000, 0.0000, 0.0856), La at (0.0000, 0.5000, 0.2500) and Ag at (0.0000, 0.0000, 0.5000).

Its relative energy among the computed polymorphs is 0.150 eV per atom. The value obtained for the magnetic moment is 0.000 μB per atom. The energy of formation is 0.272 eV per atom.

[6]
Crystalline La3Tb4Ho4 at its relaxed geometry, computed with GGA-PBE.

The structure belongs to space group Amm2 (No. 38); the cell edges are 10.6957, 5.7513 and 12.1391 Å and the angles 90.00°, 90.00° and 90.00°. The asymmetric unit holds La at (0.0000, 0.0000, 0.0000), La at (0.2900, 0.0000, 0.1553), Tb at (0.0000, 0.0000, 0.7008), Tb at (0.2166, 0.0000, 0.4953), Tb at (0.5000, 0.0000, 0.6347), Ho at (0.0000, 0.0000, 0.3037), Ho at (0.3000, 0.0000, 0.8515) and Ho at (0.5000, 0.0000, 0.3628).

Its relative energy among the computed polymorphs is 0.014 eV per atom. The value obtained for the magnetic moment is 0.000 μB per atom. The energy of formation is 0.157 eV per atom.

[7]
Crystalline BiRuN2 at its relaxed geometry, computed with GGA-PBE.

The structure belongs to space group R-3m (No. 166, hexagonal axes); the cell edges are 3.4425, 3.4425 and 19.2530 Å and the angles 90.00°, 90.00° and 120.00°. The asymmetric unit holds Bi at (0.0000, 0.0000, 0.0000), Ru at (0.0000, 0.0000, 0.5000) and N at (0.0000, 0.0000, 0.4034).

The raw formation energy comes out at 1.02 eV per atom. The value obtained for the magnetic moment is 0.000 μB per atom.

[8]
Crystalline CaHoIn at its relaxed geometry, computed with GGA-PBE.

The structure belongs to space group P6_3/mmc (No. 194); the cell edges are 5.4063, 5.4063 and 6.8795 Å and the angles 90.00°, 90.00° and 120.00°. The asymmetric unit holds Ca at (0.0000, 0.0000, 0.0000), Ho at (0.3333, 0.6667, 0.2500) and In at (0.3333, 0.6667, 0.7500).

Its relative energy among the computed polymorphs is 0.000 eV per atom. The value obtained for the magnetic moment is 0.000 μB per atom. The energy of formation is -0.368 eV per atom.

[9]
Crystalline Mn2TlAu at its relaxed geometry, computed with GGA-PBE.

The structure belongs to space group I-42d (No. 122); the cell edges are 7.4072, 7.4072 and 5.8786 Å and the angles 90.00°, 90.00° and 90.00°. The asymmetric unit holds Mn at (0.2288, 0.2500, 0.1250), Tl at (0.0000, 0.0000, 0.5000) and Au at (0.0000, 0.0000, 0.0000).

Its relative energy among the computed polymorphs is 0.276 eV per atom. The value obtained for the magnetic moment is 1.965 μB per atom. The energy of formation is 0.525 eV per atom.

[10]
Crystalline LaBi2Rh at its relaxed geometry, computed with GGA-PBE.

The structure belongs to space group I-42d (No. 122); the cell edges are 4.5163, 4.5163 and 22.3204 Å and the angles 90.00°, 90.00° and 90.00°. The asymmetric unit holds La at (0.0000, 0.0000, 0.0000), Bi at (0.2220, 0.2500, 0.6250) and Rh at (0.0000, 0.0000, 0.5000).

The value obtained for the magnetic moment is 0.000 μB per atom. The energy of formation is -0.233 eV per atom.

[11]
Crystalline KTlHg17 at its relaxed geometry, computed with GGA-PBE.

The structure belongs to space group R3m (No. 160, hexagonal axes); the cell edges are 10.2585, 10.2585 and 18.0741 Å and the angles 90.00°, 90.00° and 120.00°. The asymmetric unit holds K at (0.0000, 0.0000, 0.0000), Tl at (0.0000, 0.0000, 0.6903), Hg at (0.0000, 0.0000, 0.3023), Hg at (0.0000, 0.0000, 0.4716), Hg at (0.0025, 0.3089, 0.3604), Hg at (0.0440, 0.5220, 0.2261), Hg at (0.0874, 0.5437, 0.5007) and Hg at (0.0922, 0.5461, 0.8423).

The value obtained for the magnetic moment is 0.000 μB per atom. The energy of formation is -0.057 eV per atom.

[12]
Crystalline La12SiPb4N3 at its relaxed geometry, computed with GGA-PBE.

The structure belongs to space group Im-3m (No. 229); the cell edges are 10.5407, 10.5407 and 10.5407 Å and the angles 90.00°, 90.00° and 90.00°. The asymmetric unit holds La at (0.0000, 0.0000, 0.2683), La at (0.0000, 0.2500, 0.5000), Si at (0.0000, 0.0000, 0.0000), Pb at (0.2500, 0.2500, 0.2500) and N at (0.0000, 0.0000, 0.5000).

The raw formation energy comes out at -0.78 eV per atom. The value obtained for the magnetic moment is 0.000 μB per atom.

[13]
Crystalline LiNpSnIr at its relaxed geometry, computed with GGA-PBE.

The structure belongs to space group F-43m (No. 216); the cell edges are 6.7108, 6.7108 and 6.7108 Å and the angles 90.00°, 90.00° and 90.00°. The asymmetric unit holds Li at (0.0000, 0.0000, 0.0000), Np at (0.2500, 0.2500, 0.2500), Sn at (0.2500, 0.2500, 0.7500) and Ir at (0.0000, 0.0000, 0.5000).

The value obtained for the magnetic moment is 0.865 μB per atom. The energy of formation is -0.264 eV per atom.

[14]
Crystalline CaTmPu at its relaxed geometry, computed with GGA-PBE.

The structure belongs to space group C2/m (No. 12); the cell edges are 16.7916, 3.5597 and 6.2803 Å and the angles 90.00°, 105.01° and 90.00°. The asymmetric unit holds Ca at (0.0562, 0.0000, 0.2860), Tm at (0.1584, 0.5000, 0.8467) and Pu at (0.2305, 0.5000, 0.3857).

Its relative energy among the computed polymorphs is 0.087 eV per atom. The value obtained for the magnetic moment is 0.000 μB per atom. The energy of formation is 0.303 eV per atom.

[15]
Crystalline Ac2ZnGa3Au4 at its relaxed geometry, computed with GGA-PBE.

The structure belongs to space group P-4m2 (No. 115); the cell edges are 4.6055, 4.6055 and 10.4980 Å and the angles 90.00°, 90.00° and 90.00°. The asymmetric unit holds Ac at (0.0000, 0.5000, 0.2501), Zn at (0.0000, 0.0000, 0.5000), Ga at (0.0000, 0.5000, 0.8718), Ga at (0.5000, 0.5000, 0.5000), Au at (0.0000, 0.0000, 0.0000), Au at (0.0000, 0.5000, 0.6268) and Au at (0.5000, 0.5000, 0.0000).

The value obtained for the magnetic moment is 0.000 μB per atom. The energy of formation is -0.656 eV per atom.

[16]
Crystalline CsTl2Pb at its relaxed geometry, computed with GGA-PBE.

The structure belongs to space group P4/mmm (No. 123); the cell edges are 4.1051, 4.1051 and 8.9506 Å and the angles 90.00°, 90.00° and 90.00°. The asymmetric unit holds Cs at (0.0000, 0.0000, 0.0000), Tl at (0.5000, 0.5000, 0.3047) and Pb at (0.0000, 0.0000, 0.5000).

Its relative energy among the computed polymorphs is 0.018 eV per atom. The value obtained for the magnetic moment is 0.000 μB per atom. The energy of formation is -0.089 eV per atom.

[17]
Crystalline Sm4CoPb2 at its relaxed geometry, computed with GGA-PBE.

The structure belongs to space group I4/mmm (No. 139); the cell edges are 4.9746, 4.9746 and 17.0581 Å and the angles 90.00°, 90.00° and 90.00°. The asymmetric unit holds Sm at (0.0000, 0.0000, 0.1732), Sm at (0.0000, 0.5000, 0.0000), Co at (0.0000, 0.0000, 0.0000) and Pb at (0.0000, 0.0000, 0.3598).

Its relative energy among the computed polymorphs is 0.018 eV per atom. The value obtained for the magnetic moment is 0.000 μB per atom. The energy of formation is -0.317 eV per atom.

[18]
Crystalline SnPd2F8 at its relaxed geometry, computed with GGA-PBE.

The structure belongs to space group C2/m (No. 12); the cell edges are 8.4001, 8.1562 and 5.2839 Å and the angles 90.00°, 99.78° and 90.00°. The asymmetric unit holds Sn at (0.0000, 0.0000, 0.0000), Pd at (0.1825, 0.5000, 0.4852), F at (0.0451, 0.5000, 0.7531), F at (0.1170, 0.1612, 0.2473) and F at (0.1941, 0.0000, 0.8111).

The raw formation energy comes out at -1.60 eV per atom. The value obtained for the magnetic moment is 0.013 μB per atom.

[19]
Crystalline LaMg2GaAg4 at its relaxed geometry, computed with GGA-PBE.

The structure belongs to space group R-3m (No. 166, hexagonal axes); the cell edges are 4.6481, 4.6481 and 27.4174 Å and the angles 90.00°, 90.00° and 120.00°. The asymmetric unit holds La at (0.0000, 0.0000, 0.0000), Mg at (0.0000, 0.0000, 0.2397), Ga at (0.0000, 0.0000, 0.5000), Ag at (0.0000, 0.0000, 0.1311) and Ag at (0.0000, 0.0000, 0.4003).

The value obtained for the magnetic moment is 0.000 μB per atom. The energy of formation is -0.189 eV per atom.

[20]
Crystalline AgRhO3 at its relaxed geometry, computed with GGA-PBE.

The structure belongs to space group C2/m (No. 12); the cell edges are 5.1722, 9.6112 and 5.5637 Å and the angles 90.00°, 99.08° and 90.00°. The asymmetric unit holds Ag at (0.0000, 0.1414, 0.0000), Rh at (0.0000, 0.3420, 0.5000), O at (0.1659, 0.5000, 0.6920) and O at (0.2341, 0.2039, 0.7082).

The raw formation energy comes out at -0.36 eV per atom. The value obtained for the magnetic moment is 0.016 μB per atom.

[21]
Crystalline Sm2CdAu at its relaxed geometry, computed with GGA-PBE.

The structure belongs to space group Fm-3m (No. 225); the cell edges are 7.4775, 7.4775 and 7.4775 Å and the angles 90.00°, 90.00° and 90.00°. The asymmetric unit holds Sm at (0.2500, 0.2500, 0.2500), Cd at (0.0000, 0.0000, 0.0000) and Au at (0.0000, 0.0000, 0.5000).

Its relative energy among the computed polymorphs is 0.032 eV per atom. The value obtained for the magnetic moment is 0.000 μB per atom. The energy of formation is -0.524 eV per atom.

[22]
Crystalline NaHg3Bi at its relaxed geometry, computed with GGA-PBE.

The structure belongs to space group Pc (No. 7); the cell edges are 6.2500, 5.7376 and 9.5695 Å and the angles 90.00°, 124.24° and 90.00°. The asymmetric unit holds Na at (0.0000, 0.2094, 0.0000), Hg at (0.0992, 0.2890, 0.3637), Hg at (0.5924, 0.0380, 0.1462), Hg at (0.6984, 0.3264, 0.4661) and Bi at (0.3061, 0.2641, 0.7813).

Its relative energy among the computed polymorphs is 0.018 eV per atom. The value obtained for the magnetic moment is 0.000 μB per atom. The energy of formation is -0.102 eV per atom.

[23]
Crystalline Cr3SiSn at its relaxed geometry, computed with GGA-PBE.

The structure belongs to space group Pm-3m (No. 221); the cell edges are 4.2950, 4.2950 and 4.2950 Å and the angles 90.00°, 90.00° and 90.00°. The asymmetric unit holds Cr at (0.0000, 0.0000, 0.5000), Si at (0.0000, 0.0000, 0.0000) and Sn at (0.5000, 0.5000, 0.5000).

The raw formation energy comes out at 0.81 eV per atom. Its relative energy among the computed polymorphs is 0.000 eV per atom. The value obtained for the magnetic moment is 0.000 μB per atom.

[24]
Crystalline TbHo2HfN4 at its relaxed geometry, computed with GGA-PBE.

The structure belongs to space group P2/m (No. 10); the cell edges are 5.8655, 3.3817 and 5.8769 Å and the angles 90.00°, 109.22° and 90.00°. The asymmetric unit holds Tb at (0.0000, 0.0000, 0.0000), Ho at (0.5000, 0.0000, 0.5000), Ho at (0.5000, 0.5000, 0.0000), Hf at (0.0000, 0.5000, 0.5000), N at (0.2348, 0.0000, 0.7326) and N at (0.2421, 0.5000, 0.2625).

The raw formation energy comes out at -1.76 eV per atom. The value obtained for the magnetic moment is 0.000 μB per atom.